# PmTmNiPd (PBE-GGA, optimized geometry)
data_PmTmNiPd
_space_group_name_H-M_alt 'P 1'
_space_group_IT_number 1
_space_group_name_Hall 'P 1'
_cell_length_a 4.454
_cell_length_b 5.485
_cell_length_c 5.485
_cell_angle_alpha 40.48
_cell_angle_beta 90.00
_cell_angle_gamma 90.00
loop_
_atom_site_label
_atom_site_fract_x
_atom_site_fract_y
_atom_site_fract_z
Pm1 0.000 0.000 0.000
Tm1 0.500 0.721 0.721
Ni1 0.000 0.276 0.276
Pd1 0.500 0.434 0.434
# spin magnetization	0.00	μB per cell
# ρ	9.15	Mg/m³
# offset from the most stable computed form	0.0	kJ/mol of atoms
# total energy	-5.68	eV/atom

# PmTmNiPd (PBE-GGA, optimized geometry)
data_PmTmNiPd
_space_group_name_H-M_alt 'P 1'
_space_group_IT_number 1
_space_group_name_Hall 'P 1'
_cell_length_a 4.920
_cell_length_b 4.920
_cell_length_c 4.920
_cell_angle_alpha 60.00
_cell_angle_beta 60.00
_cell_angle_gamma 60.00
loop_
_atom_site_label
_atom_site_fract_x
_atom_site_fract_y
_atom_site_fract_z
Pm1 0.000 0.000 0.000
Tm1 0.500 0.500 0.500
Ni1 0.250 0.250 0.250
Pd1 0.750 0.750 0.750
# spin magnetization	0.00	μB per cell
# ρ	9.45	Mg/m³
# offset from the most stable computed form	5.3	kJ/mol of atoms
# total energy	-5.63	eV/atom

# PmZn5Ni2Pd (PBE-GGA, optimized geometry)
data_PmZn5Ni2Pd
_space_group_name_H-M_alt 'P 1'
_space_group_IT_number 1
_space_group_name_Hall 'P 1'
_cell_length_a 4.645
_cell_length_b 4.645
_cell_length_c 6.995
_cell_angle_alpha 90.00
_cell_angle_beta 90.00
_cell_angle_gamma 90.00
loop_
_atom_site_label
_atom_site_fract_x
_atom_site_fract_y
_atom_site_fract_z
Pm1 0.000 0.000 0.000
Zn1 0.000 0.500 0.304
Zn2 0.000 0.500 0.696
Zn3 0.500 0.000 0.304
Zn4 0.500 0.000 0.696
Zn5 0.500 0.500 0.000
Ni1 0.500 0.500 0.333
Ni2 0.500 0.500 0.667
Pd1 0.000 0.000 0.500
# spin magnetization	0.00	μB per cell
# ρ	7.66	Mg/m³
# total energy	-3.28	eV/atom

# PmZn3NiPd (PBE-GGA, optimized geometry)
data_PmZn3NiPd
_space_group_name_H-M_alt 'P 1'
_space_group_IT_number 1
_space_group_name_Hall 'P 1'
_cell_length_a 6.719
_cell_length_b 6.719
_cell_length_c 5.415
_cell_angle_alpha 90.00
_cell_angle_beta 90.00
_cell_angle_gamma 107.60
loop_
_atom_site_label
_atom_site_fract_x
_atom_site_fract_y
_atom_site_fract_z
Pm1 0.193 0.807 0.750
Pm2 0.807 0.193 0.250
Zn1 0.236 0.236 0.000
Zn2 0.236 0.236 0.500
Zn3 0.315 0.685 0.250
Zn4 0.685 0.315 0.750
Zn5 0.764 0.764 0.000
Zn6 0.764 0.764 0.500
Ni1 0.084 0.916 0.250
Ni2 0.916 0.084 0.750
Pd1 0.450 0.550 0.750
Pd2 0.550 0.450 0.250
# spin magnetization	0.00	μB per cell
# ρ	7.22	Mg/m³
# total energy	-3.51	eV/atom

# Pm2Zn5Ni2Pd (PBE-GGA, optimized geometry)
data_Pm2Zn5Ni2Pd
_space_group_name_H-M_alt 'P 1'
_space_group_IT_number 1
_space_group_name_Hall 'P 1'
_cell_length_a 9.262
_cell_length_b 9.262
_cell_length_c 4.074
_cell_angle_alpha 90.00
_cell_angle_beta 90.00
_cell_angle_gamma 90.00
loop_
_atom_site_label
_atom_site_fract_x
_atom_site_fract_y
_atom_site_fract_z
Pm1 0.184 0.316 0.000
Pm2 0.316 0.816 0.000
Pm3 0.684 0.184 0.000
Pm4 0.816 0.684 0.000
Zn1 0.000 0.500 0.500
Zn2 0.053 0.798 0.500
Zn3 0.202 0.053 0.500
Zn4 0.298 0.553 0.500
Zn5 0.447 0.298 0.500
Zn6 0.500 0.000 0.500
Zn7 0.553 0.702 0.500
Zn8 0.702 0.447 0.500
Zn9 0.798 0.947 0.500
Zn10 0.947 0.202 0.500
Ni1 0.109 0.609 0.000
Ni2 0.391 0.109 0.000
Ni3 0.609 0.891 0.000
Ni4 0.891 0.391 0.000
Pd1 0.000 0.000 0.000
Pd2 0.500 0.500 0.000
# spin magnetization	0.00	μB per cell
# ρ	7.99	Mg/m³
# total energy	-3.60	eV/atom

# PmZrNiPd (PBE-GGA, optimized geometry)
data_PmZrNiPd
_space_group_name_H-M_alt 'P 1'
_space_group_IT_number 1
_space_group_name_Hall 'P 1'
_cell_length_a 4.831
_cell_length_b 4.831
_cell_length_c 4.831
_cell_angle_alpha 60.00
_cell_angle_beta 60.00
_cell_angle_gamma 60.00
loop_
_atom_site_label
_atom_site_fract_x
_atom_site_fract_y
_atom_site_fract_z
Pm1 0.000 0.000 0.000
Zr1 0.500 0.500 0.500
Ni1 0.750 0.750 0.750
Pd1 0.250 0.250 0.250
# spin magnetization	0.00	μB per cell
# ρ	8.36	Mg/m³
# total energy	-6.44	eV/atom

# Pr2NiPd (PBE-GGA, optimized geometry)
data_Pr2NiPd
_space_group_name_H-M_alt 'P 1'
_space_group_IT_number 1
_space_group_name_Hall 'P 1'
_cell_length_a 5.766
_cell_length_b 4.493
_cell_length_c 7.871
_cell_angle_alpha 90.00
_cell_angle_beta 110.04
_cell_angle_gamma 90.00
loop_
_atom_site_label
_atom_site_fract_x
_atom_site_fract_y
_atom_site_fract_z
Pr1 0.221 0.250 0.435
Pr2 0.229 0.250 0.928
Pr3 0.771 0.750 0.072
Pr4 0.779 0.750 0.565
Ni1 0.344 0.750 0.710
Ni2 0.656 0.250 0.290
Pd1 0.339 0.750 0.212
Pd2 0.661 0.250 0.788
# spin magnetization	0.00	μB per cell
# ρ	7.75	Mg/m³
# offset from the most stable computed form	0.0	kJ/mol of atoms
# total energy	-5.66	eV/atom

# Pr8NiPd2 (PBE-GGA, optimized geometry)
data_Pr8NiPd2
_space_group_name_H-M_alt 'P 1'
_space_group_IT_number 1
_space_group_name_Hall 'P 1'
_cell_length_a 7.739
_cell_length_b 7.739
_cell_length_c 6.527
_cell_angle_alpha 103.15
_cell_angle_beta 103.15
_cell_angle_gamma 107.78
loop_
_atom_site_label
_atom_site_fract_x
_atom_site_fract_y
_atom_site_fract_z
Pr1 0.000 0.000 0.000
Pr2 0.006 0.277 0.570
Pr3 0.208 0.528 0.221
Pr4 0.277 0.006 0.570
Pr5 0.451 0.729 0.857
Pr6 0.528 0.208 0.221
Pr7 0.729 0.451 0.857
Pr8 0.733 0.733 0.401
Ni1 0.359 0.359 0.931
Pd1 0.047 0.673 0.696
Pd2 0.673 0.047 0.696
# spin magnetization	0.00	μB per cell
# ρ	6.76	Mg/m³
# offset from the most stable computed form	7.5	kJ/mol of atoms
# total energy	-5.15	eV/atom

# Pr3NiPd2 (PBE-GGA, optimized geometry)
data_Pr3NiPd2
_space_group_name_H-M_alt 'P 1'
_space_group_IT_number 1
_space_group_name_Hall 'P 1'
_cell_length_a 11.880
_cell_length_b 4.139
_cell_length_c 12.124
_cell_angle_alpha 90.00
_cell_angle_beta 90.00
_cell_angle_gamma 90.00
loop_
_atom_site_label
_atom_site_fract_x
_atom_site_fract_y
_atom_site_fract_z
Pr1 0.055 0.250 0.125
Pr2 0.122 0.750 0.553
Pr3 0.220 0.250 0.803
Pr4 0.280 0.750 0.303
Pr5 0.378 0.250 0.053
Pr6 0.445 0.750 0.625
Pr7 0.555 0.250 0.375
Pr8 0.622 0.750 0.947
Pr9 0.720 0.250 0.697
Pr10 0.780 0.750 0.197
Pr11 0.878 0.250 0.447
Pr12 0.945 0.750 0.875
Ni1 0.122 0.250 0.371
Ni2 0.378 0.750 0.871
Ni3 0.622 0.250 0.129
Ni4 0.878 0.750 0.629
Pd1 0.009 0.750 0.306
Pd2 0.184 0.750 0.990
Pd3 0.316 0.250 0.490
Pd4 0.491 0.250 0.806
Pd5 0.509 0.750 0.194
Pd6 0.684 0.750 0.510
Pd7 0.816 0.250 0.010
Pd8 0.991 0.250 0.694
# spin magnetization	0.00	μB per cell
# ρ	7.73	Mg/m³
# total energy	-5.66	eV/atom

# PrNi4Pd8 (PBE-GGA, optimized geometry)
data_PrNi4Pd8
_space_group_name_H-M_alt 'P 1'
_space_group_IT_number 1
_space_group_name_Hall 'P 1'
_cell_length_a 6.778
_cell_length_b 6.778
_cell_length_c 6.778
_cell_angle_alpha 97.92
_cell_angle_beta 97.92
_cell_angle_gamma 136.41
loop_
_atom_site_label
_atom_site_fract_x
_atom_site_fract_y
_atom_site_fract_z
Pr1 0.000 0.000 0.000
Ni1 0.000 0.000 0.500
Ni2 0.000 0.500 0.000
Ni3 0.500 0.000 0.000
Ni4 0.500 0.500 0.500
Pd1 0.000 0.347 0.347
Pd2 0.000 0.653 0.653
Pd3 0.280 0.500 0.780
Pd4 0.347 0.000 0.347
Pd5 0.500 0.280 0.780
Pd6 0.500 0.720 0.220
Pd7 0.653 0.000 0.653
Pd8 0.720 0.500 0.220
# spin magnetization	4.18	μB per cell
# ρ	10.22	Mg/m³
# total energy	-5.57	eV/atom

Q: Number 9 is which compound?
A: Pr3NiPd2